A relaxed AcGdZr crystal. Source: the Alexandria database, functional PBE-GGA.

Structure (POSCAR):
```
AcGdZr
1.0
-0.795 -2.884 -1.809
4.877 0.379 -2.749
-0.305 -2.916 4.784
Ac Gd Zr
1 1 1
Direct
0.167 0.000 0.000 Ac
0.667 0.667 0.333 Gd
0.167 0.333 0.667 Zr
```

energy above the lowest structure with this stoichiometry = 81 meV per atom
volume = 95.3 Å³/f.u.
crystal system = hexagonal
energy of formation from the pure elements = 267 meV/atom
spin magnetization = 7.77 μB per cell
symmetry = P-6m2